No. 1
Below is BaAlSCl2 after structural relaxation, with properties calculated at the PBE-GGA level.

Properties
Polymorph energy (0 for the lowest one) = 0.000 eV per atom
D(E_F) = 0.177 states/eV/atom
Formation energy without anion corrections = -7.3 eV per formula unit
Spin magnetization = 0.00 Bohr magnetons per cell

Unit cell a=5.0442 b=5.0442 c=4.9789 alpha=90.00 beta=90.00 gamma=90.00
Atoms (fractional coordinates):
Ba  0.0000  0.0000  0.0000
Al  0.5000  0.5000  0.5000
S  0.5000  0.5000  0.0000
Cl  0.0000  0.5000  0.5000
Cl  0.5000  0.0000  0.5000

=====

No. 2
Below is BaAlSCl2 after structural relaxation, with properties calculated at the PBE-GGA level.

Properties
Polymorph energy (0 for the lowest one) = 0.751 eV per atom
D(E_F) = 1.439 states/eV/atom
Formation energy without anion corrections = -3.6 eV per formula unit
Spin magnetization = 1.01 Bohr magnetons per cell

Unit cell a=5.9534 b=5.9534 c=6.1151 alpha=90.00 beta=90.00 gamma=90.00
Atoms (fractional coordinates):
Ba  0.0000  0.0000  0.0000
Al  0.5000  0.5000  0.5000
S  0.0000  0.0000  0.5000
Cl  0.0000  0.5000  0.0000
Cl  0.5000  0.0000  0.0000

=====

No. 3
Below is BaY2AlCl after structural relaxation, with properties calculated at the PBE-GGA level.

Properties
D(E_F) = 0.796 states/eV/atom
Formation energy without anion corrections = 5.2 eV per formula unit
Spin magnetization = 0.00 Bohr magnetons per cell

Unit cell a=6.0025 b=6.0025 c=5.4730 alpha=90.00 beta=90.00 gamma=90.00
Atoms (fractional coordinates):
Ba  0.0000  0.0000  0.0000
Y  0.0000  0.5000  0.0000
Y  0.5000  0.0000  0.0000
Al  0.0000  0.0000  0.5000
Cl  0.5000  0.5000  0.5000

=====

No. 4
Below is Ba2AlZnCl after structural relaxation, with properties calculated at the PBE-GGA level.

Properties
D(E_F) = 0.870 states/eV/atom
Formation energy without anion corrections = -1.8 eV per formula unit
Spin magnetization = 0.00 Bohr magnetons per cell

Unit cell a=6.0252 b=6.0252 c=5.2518 alpha=90.00 beta=90.00 gamma=90.00
Atoms (fractional coordinates):
Ba  0.0000  0.5000  0.0000
Ba  0.5000  0.0000  0.0000
Al  0.0000  0.0000  0.5000
Zn  0.5000  0.5000  0.5000
Cl  0.5000  0.5000  0.0000

=====

No. 5
Below is BaAl2Co after structural relaxation, with properties calculated at the PBE-GGA level.

Properties
Total DFT energy (no corrections) = -4.32 eV/atom
D(E_F) = 0.759 states/eV/atom
Spin magnetization = 0.00 Bohr magnetons per cell

Unit cell a=7.4831 b=4.2958 c=6.4963 alpha=90.00 beta=112.88 gamma=90.00
Atoms (fractional coordinates):
Ba  0.0000  0.0000  0.0000
Ba  0.5000  0.5000  0.0000
Al  0.1838  0.0000  0.5633
Al  0.4784  0.0000  0.4462
Al  0.6838  0.5000  0.5633
Al  0.9784  0.5000  0.4462
Co  0.3190  0.5000  0.4706
Co  0.8190  0.0000  0.4706

=====

No. 6
Below is BaAlCo2 after structural relaxation, with properties calculated at the PBE-GGA level.

Properties
Total DFT energy (no corrections) = -4.13 eV/atom
D(E_F) = 2.210 states/eV/atom
Spin magnetization = 5.32 Bohr magnetons per cell

Unit cell a=4.3300 b=4.3300 c=8.5078 alpha=90.00 beta=90.00 gamma=90.00
Atoms (fractional coordinates):
Ba  0.0000  0.0000  0.0000
Ba  0.5000  0.5000  0.5000
Al  0.0000  0.5000  0.2500
Al  0.5000  0.0000  0.7500
Co  0.0000  0.0000  0.5000
Co  0.0000  0.5000  0.7500
Co  0.5000  0.0000  0.2500
Co  0.5000  0.5000  0.0000

=====

No. 7
Below is BaAlCo2 after structural relaxation, with properties calculated at the PBE-GGA level.

Properties
Total DFT energy (no corrections) = -4.52 eV/atom
D(E_F) = 1.145 states/eV/atom
Spin magnetization = 5.22 Bohr magnetons per cell

Unit cell a=4.4490 b=5.8602 c=7.1284 alpha=90.00 beta=90.00 gamma=90.00
Atoms (fractional coordinates):
Ba  0.0000  0.0000  0.0000
Ba  0.5000  0.5000  0.5000
Al  0.0000  0.0000  0.5000
Al  0.5000  0.5000  0.0000
Co  0.0000  0.5000  0.1525
Co  0.0000  0.5000  0.8475
Co  0.5000  0.0000  0.3475
Co  0.5000  0.0000  0.6525

=====

No. 8
Below is BaAlCo2 after structural relaxation, with properties calculated at the PBE-GGA level.

Properties
Total DFT energy (no corrections) = -4.42 eV/atom
D(E_F) = 0.935 states/eV/atom
Spin magnetization = 5.74 Bohr magnetons per cell

Unit cell a=3.0722 b=5.3222 c=9.9774 alpha=90.00 beta=90.00 gamma=90.00
Atoms (fractional coordinates):
Ba  0.0000  0.0000  0.0000
Ba  0.5000  0.5000  0.5000
Al  0.0000  0.5000  0.1952
Al  0.5000  0.0000  0.6952
Co  0.0000  0.0000  0.4865
Co  0.0000  0.5000  0.8076
Co  0.5000  0.0000  0.3076
Co  0.5000  0.5000  0.9865

=====

No. 9
Below is BaAlCo2 after structural relaxation, with properties calculated at the PBE-GGA level.

Properties
Total DFT energy (no corrections) = -4.75 eV/atom
D(E_F) = 1.133 states/eV/atom
Spin magnetization = 1.71 Bohr magnetons per cell

Unit cell a=3.9207 b=3.8273 c=6.2427 alpha=90.00 beta=108.21 gamma=90.00
Atoms (fractional coordinates):
Ba  0.0000  0.0000  0.0000
Al  0.7349  0.5000  0.4679
Co  0.2607  0.0000  0.5192
Co  0.3480  0.5000  0.6951

=====

No. 10
Below is BaAl2Co after structural relaxation, with properties calculated at the PBE-GGA level.

Properties
Total DFT energy (no corrections) = -3.64 eV/atom
D(E_F) = 1.623 states/eV/atom
Spin magnetization = 0.00 Bohr magnetons per cell

Unit cell a=6.9771 b=6.9771 c=6.9771 alpha=90.00 beta=90.00 gamma=90.00
Atoms (fractional coordinates):
Ba  0.0000  0.0000  0.0000
Ba  0.0000  0.5000  0.5000
Ba  0.5000  0.0000  0.5000
Ba  0.5000  0.5000  0.0000
Al  0.2500  0.2500  0.2500
Al  0.2500  0.2500  0.7500
Al  0.2500  0.7500  0.2500
Al  0.2500  0.7500  0.7500
Al  0.7500  0.2500  0.2500
Al  0.7500  0.2500  0.7500
Al  0.7500  0.7500  0.2500
Al  0.7500  0.7500  0.7500
Co  0.0000  0.0000  0.5000
Co  0.0000  0.5000  0.0000
Co  0.5000  0.0000  0.0000
Co  0.5000  0.5000  0.5000

=====

No. 11
Below is BaAl2Co after structural relaxation, with properties calculated at the PBE-GGA level.

Properties
Total DFT energy (no corrections) = -3.49 eV/atom
D(E_F) = 1.136 states/eV/atom
Spin magnetization = 2.74 Bohr magnetons per cell

Unit cell a=5.6178 b=10.8748 c=3.0569 alpha=90.00 beta=106.38 gamma=90.00
Atoms (fractional coordinates):
Ba  0.0000  0.0000  0.0000
Ba  0.5000  0.5000  0.0000
Al  0.2500  0.2500  0.5000
Al  0.2500  0.7500  0.5000
Al  0.7500  0.2500  0.5000
Al  0.7500  0.7500  0.5000
Co  0.0000  0.5000  0.0000
Co  0.5000  0.0000  0.0000

=====

No. 12
Below is BaAl2Co after structural relaxation, with properties calculated at the PBE-GGA level.

Properties
Total DFT energy (no corrections) = -3.48 eV/atom
D(E_F) = 1.336 states/eV/atom
Spin magnetization = 2.76 Bohr magnetons per cell

Unit cell a=5.6186 b=10.5759 c=3.0249 alpha=90.00 beta=90.00 gamma=90.00
Atoms (fractional coordinates):
Ba  0.0000  0.0000  0.0000
Ba  0.5000  0.5000  0.0000
Al  0.2500  0.2500  0.5000
Al  0.2500  0.7500  0.5000
Al  0.7500  0.2500  0.5000
Al  0.7500  0.7500  0.5000
Co  0.0000  0.5000  0.0000
Co  0.5000  0.0000  0.0000